[1]
Nb2AgP2: relaxed, PBE-GGA.

extended XYZ file:
```
10
Lattice="7.041 0.000 0.000 0.000 7.041 0.000 0.000 0.000 3.222" Properties=species:S:1:pos:R:3 pbc="T T T"
Nb 2.488 1.033 1.611
Nb 1.033 4.553 1.611
Nb 6.008 2.488 1.611
P 1.005 2.516 0.000
Ag 0.000 0.000 0.000
Nb 4.553 6.008 1.611
Ag 3.520 3.520 0.000
P 2.516 6.036 0.000
P 4.525 1.005 0.000
P 6.036 4.525 0.000
```

E: -0.2660 hartree per atom
Energy of formation: -0.477 eV/atom

=====

[2]
Nb2AgP: relaxed, PBE-GGA.

extended XYZ file:
```
8
Lattice="3.870 0.000 0.000 0.000 3.870 0.000 1.935 1.935 9.682" Properties=species:S:1:pos:R:3 pbc="T T T"
Nb 2.902 2.958 7.262
Nb 4.837 4.781 7.262
P 1.935 3.870 4.841
Ag 0.000 0.000 0.000
Ag 3.870 1.935 4.841
Nb 1.024 2.902 2.421
Nb 2.846 0.967 2.421
P 1.935 1.935 0.000
```

E: -0.2453 hartree per atom
Energy of formation: 0.425 eV/atom

=====

[3]
Nb2AgPRu: relaxed, PBE-GGA.

extended XYZ file:
```
5
Lattice="4.724 0.000 0.000 0.000 5.001 0.000 0.000 0.000 4.724" Properties=species:S:1:pos:R:3 pbc="T T T"
P 2.362 2.500 2.362
Ag 0.000 2.500 0.000
Nb 2.362 0.000 0.000
Ru 0.000 0.000 0.000
Nb 0.000 0.000 2.362
```

E: -0.2327 hartree per atom
Energy of formation: 1.203 eV/atom

=====

[4]
NbAgSbP2: relaxed, PBE-GGA.

extended XYZ file:
```
5
Lattice="4.639 0.000 0.000 0.000 5.409 0.000 0.000 0.000 4.639" Properties=species:S:1:pos:R:3 pbc="T T T"
P 2.319 0.000 0.000
Nb 0.000 2.704 0.000
P 0.000 0.000 2.319
Sb 2.319 2.704 2.319
Ag 0.000 0.000 0.000
```

E: -0.1601 hartree per atom

=====

[5]
NbAgSn2P: relaxed, PBE-GGA.

extended XYZ file:
```
5
Lattice="5.094 0.000 0.000 0.000 5.334 0.000 0.000 0.000 5.094" Properties=species:S:1:pos:R:3 pbc="T T T"
Nb 0.000 2.667 0.000
Sn 2.547 0.000 0.000
P 2.547 2.667 2.547
Sn 0.000 0.000 2.547
Ag 0.000 0.000 0.000
```

E: -0.1477 hartree per atom
Energy of formation: 1.248 eV/atom

=====

[6]
NbTlAg2P: relaxed, PBE-GGA.

extended XYZ file:
```
5
Lattice="4.598 0.000 0.000 0.000 5.569 0.000 0.000 0.000 4.598" Properties=species:S:1:pos:R:3 pbc="T T T"
Nb 2.299 2.784 2.299
Ag 2.299 0.000 0.000
P 0.000 0.000 0.000
Ag 0.000 0.000 2.299
Tl 0.000 2.784 0.000
```

E: -0.1377 hartree per atom
Energy of formation: 0.962 eV/atom

=====

[7]
Zr2NbAgP: relaxed, PBE-GGA.

extended XYZ file:
```
5
Lattice="-2.169 -3.757 2.286 1.515 -2.811 -3.182 4.077 -0.763 2.615" Properties=species:S:1:pos:R:3 pbc="T T T"
Zr -1.084 -1.879 1.143
P 0.000 0.000 0.000
Ag 0.758 -1.405 -1.591
Nb 1.712 -3.665 0.859
Zr 2.039 -0.381 1.307
```

E: -0.2532 hartree per atom
Energy of formation: 0.196 eV/atom

=====

[8]
PaNb2Ag2S6: relaxed, PBE-GGA.

extended XYZ file:
```
11
Lattice="6.254 0.056 0.576 -3.043 5.464 0.576 -0.619 -1.064 6.782" Properties=species:S:1:pos:R:3 pbc="T T T"
S 1.867 -0.708 4.982
Ag -1.808 4.746 0.576
Ag 5.019 0.774 0.576
Nb 0.051 2.952 3.967
S 0.725 5.163 2.951
S -1.538 1.274 4.982
S 4.130 3.182 2.951
S 0.906 1.558 2.153
Nb 2.541 1.503 3.967
Pa -0.310 -0.532 3.391
S 1.686 2.898 5.780
```

E: -0.2337 hartree per atom

=====

[9]
PaNb2Ag2Se6: relaxed, PBE-GGA.

extended XYZ file:
```
11
Lattice="-1.330 -6.268 -1.344 4.140 3.219 -3.918 5.319 -1.900 4.301" Properties=species:S:1:pos:R:3 pbc="T T T"
Se 5.327 -0.179 1.541
Se 3.298 -3.698 2.496
Nb 4.771 -1.249 -0.813
Se 4.832 -1.250 -3.458
Se 2.803 -4.769 -2.503
Se 2.208 -1.452 -0.660
Ag -0.642 -5.075 -1.668
Nb 3.358 -3.699 -0.149
Ag 3.453 2.027 -3.595
Pa 2.659 -0.950 2.150
Se 5.921 -3.496 -0.302
```

E: -0.2145 hartree per atom

=====

[10]
NbAgPb3: relaxed, PBE-GGA.

extended XYZ file:
```
5
Lattice="-5.019 2.264 0.331 -1.777 -3.355 -4.001 -1.441 -3.747 3.782" Properties=species:S:1:pos:R:3 pbc="T T T"
Ag -4.118 -2.419 0.055
Pb -0.888 -1.677 -2.001
Pb -2.509 1.132 0.165
Nb 0.000 0.000 0.000
Pb -0.721 -1.874 1.891
```

Energy above the most stable polymorph in this dataset: 0.0 kJ per mole of atoms
E: -0.1544 hartree per atom
Energy of formation: 0.607 eV/atom

=====

[11]
NbAgPb2: relaxed, PBE-GGA.

extended XYZ file:
```
4
Lattice="3.228 0.000 0.000 1.614 2.796 0.000 1.614 0.932 10.749" Properties=species:S:1:pos:R:3 pbc="T T T"
Ag 3.228 1.864 5.375
Nb 0.000 0.000 0.000
Pb 1.614 0.932 7.851
Pb 4.842 2.796 2.899
```

Energy above the most stable polymorph in this dataset: 1.8 kJ per mole of atoms
E: -0.1658 hartree per atom
Energy of formation: 0.572 eV/atom

=====

[12]
NbAgPb2: relaxed, PBE-GGA.

extended XYZ file:
```
8
Lattice="7.827 0.000 0.000 0.000 7.827 0.000 3.914 3.914 3.186" Properties=species:S:1:pos:R:3 pbc="T T T"
Pb 5.953 1.957 0.797
Pb 1.874 5.870 0.797
Nb 3.914 3.914 0.000
Nb 3.914 7.827 1.593
Ag 7.827 3.914 1.593
Ag 0.000 0.000 0.000
Pb 9.784 9.867 2.390
Pb 5.870 5.787 2.390
```

Energy above the most stable polymorph in this dataset: 12.9 kJ per mole of atoms
E: -0.1616 hartree per atom
Energy of formation: 0.687 eV/atom

=====

Q: Which value of E does entry 11 give?
A: -0.1658 hartree per atom

=====

Q: E of number 7 (Zr2NbAgP)?
A: -0.2532 hartree per atom